1.
InSi2Se: optimized geometry, PBE.

Results
SG = C2/m
Total DFT energy (no corrections) = -3.990 eV per atom
Theoretical density = 3.96 Mg/m³
Energy relative to the elements, uncorrected = 1.1 eV/f.u.

Lattice parameters (Å, degrees): 5.664 5.664 5.920 64.60 64.60 38.26
Atoms (fractional coordinates):
In (0.750, 0.750, 0.750)
Se (0.250, 0.250, 0.250)
Si (0.067, 0.067, 0.121)
Si (0.433, 0.433, 0.379)

=====

2.
GePb2I: optimized geometry, PBE.

Results
SG = Fm-3m
Total DFT energy (no corrections) = -3.202 eV per atom
Energy relative to the lowest polymorph listed for this composition = 0.014 eV per atom
Theoretical density = 8.46 Mg/m³
Energy relative to the elements, uncorrected = 0.8 eV/f.u.

Lattice parameters (Å, degrees): 5.545 5.545 5.545 60.00 60.00 60.00
Atoms (fractional coordinates):
Pb (0.250, 0.250, 0.250)
Pb (0.750, 0.750, 0.750)
I (0.500, 0.500, 0.500)
Ge (0.000, 0.000, 0.000)

=====

3.
Li4Pa3Se8: optimized geometry, PBE.

Results
SG = C2/m
Total DFT energy (no corrections) = -5.527 eV per atom
Energy relative to the lowest polymorph listed for this composition = 0.028 eV per atom
Theoretical density = 6.20 Mg/m³
Energy relative to the elements, uncorrected = -18.9 eV/f.u.

Lattice parameters (Å, degrees): 8.032 8.071 8.071 89.22 120.91 120.91
Last column: magnetic moment on the atom in μB.
Atoms (fractional coordinates):
Li (0.500, 0.000, 0.000)  0.00
Li (0.000, 0.500, 0.000)  0.00
Li (0.000, 0.000, 0.000)  0.00
Li (0.000, 0.000, 0.500)  0.00
Pa (0.500, 0.500, 0.000)  0.78
Pa (0.500, 0.000, 0.500)  0.78
Pa (0.500, 0.500, 0.500)  0.48
Se (0.510, 0.251, 0.251)  -0.03
Se (0.000, 0.752, 0.248)  -0.03
Se (0.017, 0.249, 0.249)  -0.02
Se (0.500, 0.758, 0.242)  -0.02
Se (0.500, 0.242, 0.758)  -0.02
Se (0.983, 0.751, 0.751)  -0.02
Se (0.000, 0.248, 0.752)  -0.03
Se (0.490, 0.749, 0.749)  -0.03

=====

4.
CdIn3Rh2: optimized geometry, PBE.

Results
SG = R-3c
Formation enthalpy at 0 K = -0.122 eV per atom
Total DFT energy (no corrections) = -4.094 eV per atom
Theoretical density = 8.45 Mg/m³

Lattice parameters (Å, degrees): 7.115 7.115 7.115 60.98 60.98 60.98
Atoms (fractional coordinates):
Cd (0.500, 0.500, 0.500)
Cd (0.000, 0.000, 0.000)
In (0.450, 0.050, 0.750)
In (0.050, 0.750, 0.450)
In (0.750, 0.450, 0.050)
In (0.550, 0.950, 0.250)
In (0.950, 0.250, 0.550)
In (0.250, 0.550, 0.950)
Rh (0.343, 0.343, 0.343)
Rh (0.157, 0.157, 0.157)
Rh (0.843, 0.843, 0.843)
Rh (0.657, 0.657, 0.657)

=====

5.
VCoW: optimized geometry, PBE.

Results
SG = I4mm
Formation enthalpy at 0 K = 0.028 eV per atom
Total DFT energy (no corrections) = -9.698 eV per atom
Energy relative to the lowest polymorph listed for this composition = 0.000 eV per atom
Theoretical density = 12.13 Mg/m³

Lattice parameters (Å, degrees): 2.650 2.650 6.022 102.71 102.71 90.00
Last column: magnetic moment on the atom in μB.
Atoms (fractional coordinates):
Co (0.329, 0.329, 0.657)  0.25
W (0.990, 0.990, 0.981)  -0.01
V (0.681, 0.681, 0.362)  0.20

=====

6.
Tm2ScC: optimized geometry, PBE.

Results
SG = R-3m
Formation enthalpy at 0 K = -0.068 eV per atom
Total DFT energy (no corrections) = -6.193 eV per atom
Theoretical density = 6.98 Mg/m³

Lattice parameters (Å, degrees): 3.446 3.446 9.351 79.38 79.38 60.00
Last column: magnetic moment on the atom in μB.
Atoms (fractional coordinates):
Sc (0.000, 0.000, 0.000)  0.28
C (0.500, 0.500, 0.500)  -0.01
Tm (0.118, 0.118, 0.645)  0.06
Tm (0.882, 0.882, 0.355)  0.06

=====

7.
Al2O3: optimized geometry, PBE.

Results
SG = Cm
Total DFT energy (no corrections) = -7.424 eV per atom
Theoretical density = 3.56 Mg/m³
Energy relative to the elements, uncorrected = -14.8 eV/f.u.

Lattice parameters (Å, degrees): 5.638 5.638 27.533 89.48 89.48 60.45
Atoms (fractional coordinates):
Al (0.167, 0.167, 0.916)
Al (0.002, 0.002, 0.993)
Al (0.996, 0.996, 0.809)
Al (0.166, 0.678, 0.917)
Al (0.349, 0.349, 0.828)
Al (0.323, 0.323, 0.646)
Al (0.678, 0.166, 0.917)
Al (0.499, 0.999, 0.749)
Al (0.833, 0.833, 0.580)
Al (0.651, 0.651, 0.669)
Al (0.999, 0.499, 0.749)
Al (0.676, 0.676, 0.853)
Al (0.666, 0.666, 0.477)
Al (0.834, 0.323, 0.580)
Al (0.166, 0.166, 0.421)
Al (0.323, 0.834, 0.580)
Al (0.002, 0.002, 0.688)
Al (0.996, 0.996, 0.313)
Al (0.165, 0.676, 0.421)
Al (0.348, 0.348, 0.332)
Al (0.000, 0.499, 0.252)
Al (0.676, 0.165, 0.421)
Al (0.326, 0.326, 0.151)
Al (0.332, 0.332, 0.524)
Al (0.499, 0.000, 0.252)
Al (0.653, 0.653, 0.172)
Al (0.676, 0.676, 0.355)
Al (0.830, 0.337, 0.082)
Al (0.337, 0.830, 0.082)
Al (0.003, 0.003, 0.190)
Al (0.829, 0.829, 0.083)
Al (0.335, 0.335, 0.018)
O (0.854, 0.302, 0.954)
O (0.004, 0.004, 0.874)
O (0.302, 0.854, 0.954)
O (0.852, 0.852, 0.954)
O (0.156, 0.652, 0.791)
O (0.495, 0.495, 0.875)
O (0.031, 0.491, 0.876)
O (0.652, 0.156, 0.791)
O (0.320, 0.320, 0.709)
O (0.337, 0.337, 0.954)
O (0.177, 0.177, 0.790)
O (0.491, 0.031, 0.876)
O (0.510, 0.968, 0.622)
O (0.822, 0.822, 0.707)
O (0.345, 0.843, 0.706)
O (0.679, 0.679, 0.789)
O (0.968, 0.510, 0.622)
O (0.663, 0.663, 0.543)
O (0.504, 0.504, 0.623)
O (0.843, 0.345, 0.706)
O (0.836, 0.333, 0.453)
O (0.163, 0.163, 0.547)
O (0.995, 0.995, 0.620)
O (0.668, 0.162, 0.547)
O (0.333, 0.836, 0.453)
O (0.003, 0.003, 0.380)
O (0.835, 0.835, 0.453)
O (0.162, 0.668, 0.547)
O (0.155, 0.653, 0.295)
O (0.495, 0.495, 0.377)
O (0.336, 0.336, 0.457)
O (0.653, 0.155, 0.295)
O (0.032, 0.489, 0.378)
O (0.321, 0.321, 0.214)
O (0.175, 0.175, 0.293)
O (0.489, 0.032, 0.378)
O (0.507, 0.981, 0.125)
O (0.823, 0.823, 0.210)
O (0.678, 0.678, 0.291)
O (0.665, 0.665, 0.053)
O (0.346, 0.845, 0.208)
O (0.981, 0.507, 0.125)
O (0.503, 0.503, 0.126)
O (0.845, 0.346, 0.208)
O (0.158, 0.158, 0.044)
O (0.685, 0.157, 0.044)
O (0.998, 0.998, 0.121)
O (0.157, 0.685, 0.044)

=====

8.
Tc2NiRu: optimized geometry, PBE.

Results
SG = P4/mmm
Formation enthalpy at 0 K = 0.067 eV per atom
Total DFT energy (no corrections) = -8.881 eV per atom
Energy relative to the lowest polymorph listed for this composition = 0.115 eV per atom
Theoretical density = 10.90 Mg/m³

Lattice parameters (Å, degrees): 2.676 2.676 7.569 90.00 90.00 90.00
Atoms (fractional coordinates):
Ni (0.500, 0.500, 0.250)
Ru (0.500, 0.500, 0.750)
Tc (0.000, 0.000, 0.008)
Tc (0.000, 0.000, 0.492)

=====

9.
TmCd2Sb: optimized geometry, PBE.

Results
SG = P4/mmm
Total DFT energy (no corrections) = -3.018 eV per atom
Theoretical density = 8.78 Mg/m³
Energy relative to the elements, uncorrected = -1.6 eV/f.u.

Lattice parameters (Å, degrees): 5.087 4.377 4.377 90.00 90.00 90.00
Atoms (fractional coordinates):
Sb (0.500, 0.500, 0.500)
Tm (0.500, 0.000, 0.000)
Cd (0.000, 0.000, 0.500)
Cd (0.000, 0.500, 0.000)

=====

10.
Pm3Zn2Ru: optimized geometry, PBE.

Results
SG = Pnma
Formation enthalpy at 0 K = -0.290 eV per atom
Total DFT energy (no corrections) = -4.636 eV per atom
Energy relative to the lowest polymorph listed for this composition = 0.000 eV per atom
Theoretical density = 7.40 Mg/m³

Lattice parameters (Å, degrees): 4.458 10.990 12.220 90.00 90.00 90.00
Atoms (fractional coordinates):
Pm (0.250, 0.385, 0.054)
Pm (0.750, 0.615, 0.946)
Pm (0.750, 0.885, 0.446)
Pm (0.250, 0.115, 0.554)
Pm (0.250, 0.712, 0.236)
Pm (0.750, 0.288, 0.764)
Pm (0.750, 0.212, 0.264)
Pm (0.250, 0.788, 0.736)
Pm (0.250, 0.444, 0.388)
Pm (0.750, 0.556, 0.612)
Pm (0.750, 0.944, 0.112)
Pm (0.250, 0.056, 0.888)
Zn (0.250, 0.701, 0.489)
Zn (0.750, 0.299, 0.511)
Zn (0.750, 0.201, 0.011)
Zn (0.250, 0.799, 0.989)
Zn (0.250, 0.007, 0.296)
Zn (0.750, 0.993, 0.704)
Zn (0.750, 0.507, 0.204)
Zn (0.250, 0.493, 0.796)
Ru (0.250, 0.138, 0.117)
Ru (0.750, 0.862, 0.883)
Ru (0.750, 0.638, 0.383)
Ru (0.250, 0.362, 0.617)

=====

11.
SbPd2S3: optimized geometry, PBE.

Results
SG = P-3m1
Total DFT energy (no corrections) = -4.723 eV per atom
Theoretical density = 6.05 Mg/m³
Energy relative to the elements, uncorrected = -1.4 eV/f.u.

Lattice parameters (Å, degrees): 7.455 7.455 4.915 90.00 90.00 120.00
Atoms (fractional coordinates):
Sb (0.333, 0.667, 0.394)
Sb (0.667, 0.333, 0.606)
Pd (0.000, 0.000, 0.000)
Pd (0.000, 0.500, 0.000)
Pd (0.500, 0.500, 0.000)
Pd (0.500, 0.000, 0.000)
S (0.178, 0.355, 0.761)
S (0.178, 0.822, 0.761)
S (0.645, 0.822, 0.761)
S (0.355, 0.178, 0.239)
S (0.822, 0.645, 0.239)
S (0.822, 0.178, 0.239)

=====

12.
Dy7Er5Tm: optimized geometry, PBE.

Results
SG = Imm2
Formation enthalpy at 0 K = 0.260 eV per atom
Total DFT energy (no corrections) = -4.317 eV per atom
Theoretical density = 8.52 Mg/m³

Lattice parameters (Å, degrees): 6.621 8.606 8.606 79.90 67.38 67.38
Atoms (fractional coordinates):
Dy (0.733, 0.267, 0.267)
Dy (0.424, 0.576, 0.576)
Dy (0.979, 0.348, 0.693)
Dy (0.979, 0.693, 0.348)
Dy (0.230, 0.270, 0.270)
Dy (0.481, 0.847, 0.190)
Dy (0.481, 0.190, 0.847)
Er (0.462, 0.998, 0.543)
Er (0.998, 0.998, 0.543)
Er (0.462, 0.543, 0.998)
Er (0.998, 0.543, 0.998)
Er (0.731, 0.769, 0.769)
Tm (0.041, 0.959, 0.959)